[1]
Material: HoPaRh2
Method: DFT, PBE
State: optimized geometry

Cell: 4.021 5.922 7.613 Å, 109.53 90.00 90.00°
Sites, in units of the cell vectors:
Rh 0.750 0.179 0.770
Rh 0.250 0.792 0.682
Pa 0.250 0.282 0.572
Rh 0.750 0.208 0.318
Ho 0.250 0.276 0.063
Rh 0.250 0.821 0.230
Ho 0.750 0.724 0.937
Pa 0.750 0.718 0.428

Results
For the energy above the most stable polymorph in this dataset, the calculation gives 0.0000 eV per atom. The magnetic moment is 0.000 Bohr magnetons per cell. As for the density of states at the Fermi level: 6.2 states/eV/cell. Its space-group type is P2_1/m, No. 11. Its total DFT energy (no corrections) is -0.2968 hartree per atom.

---

[2]
Material: HoPaRh4
Method: DFT, PBE
State: optimized geometry

Cell: 3.953 3.939 7.858 Å, 90.04 90.03 90.00°
Sites, in units of the cell vectors:
Pa 0.001 0.997 0.498
Rh 0.001 0.497 0.264
Rh 0.001 0.497 0.732
Rh 0.501 0.997 0.732
Rh 0.501 0.998 0.265
Ho 0.501 0.497 0.998

Results
For the energy above the most stable polymorph in this dataset, the calculation gives 0.2613 eV per atom. The magnetic moment is 0.000 Bohr magnetons per cell. As for the density of states at the Fermi level: 3.8 states/eV/cell. Its space-group type is Pmmm, No. 47. Its total DFT energy (no corrections) is -0.2862 hartree per atom.

---

[3]
Material: HoPaRh2
Method: DFT, PBE
State: optimized geometry

Cell: 3.455 3.455 6.926 Å, 90.00 90.00 90.00°
Sites, in units of the cell vectors:
Pa 0.500 0.500 0.500
Ho 0.500 0.500 0.000
Rh 0.000 0.000 0.724
Rh 0.000 0.000 0.276

Results
For the energy above the most stable polymorph in this dataset, the calculation gives 0.1146 eV per atom. The magnetic moment is 0.000 Bohr magnetons per cell. As for the density of states at the Fermi level: 3.3 states/eV/cell. Its space-group type is P4/mmm, No. 123. Its total DFT energy (no corrections) is -0.2926 hartree per atom.

---

[4]
Material: HoPaRh2
Method: DFT, PBE
State: optimized geometry

Cell: 4.862 4.862 4.862 Å, 60.00 60.00 60.00°
Sites, in units of the cell vectors:
Rh 0.250 0.250 0.250
Rh 0.750 0.750 0.750
Ho 0.500 0.500 0.500
Pa 0.000 0.000 0.000

Results
For the energy above the most stable polymorph in this dataset, the calculation gives 0.1873 eV per atom. The magnetic moment is 0.005 Bohr magnetons per cell. As for the density of states at the Fermi level: 6.2 states/eV/cell. Its space-group type is Fm-3m, No. 225. Its total DFT energy (no corrections) is -0.2899 hartree per atom.